The following is a DFT calculation (GGA+U) of crystalline YMnReF2 at its relaxed geometry.

## Properties
DOS at the Fermi energy (states/eV per cell): 3.1
Crystal system: tetragonal
Electronic total energy (Ry/atom): -0.456

The structure in CIF format:
```
data_YMnReF2
_chemical_formula_sum 'Y1 Mn1 Re1 F2'
_symmetry_space_group_name_H-M 'P 4/m m m'
_symmetry_Int_Tables_number 123
_symmetry_space_group_name_Hall '-P 4 2'
_cell_length_a 4.2152
_cell_length_b 4.2152
_cell_length_c 5.1739
_cell_angle_alpha 90.00
_cell_angle_beta 90.00
_cell_angle_gamma 90.00
loop_
_atom_site_label
_atom_site_fract_x
_atom_site_fract_y
_atom_site_fract_z
Y1 0.0000 0.0000 0.0000
Mn1 0.5000 0.5000 0.0000
Re1 0.5000 0.5000 0.5000
F1 0.0000 0.5000 0.5000
```